No. 1
Material: LiCuAs
Method: DFT, PBE-GGA
State: relaxed

Crystal system   cubic

Cell and atoms, written as extended XYZ:
```
3
Lattice="0.0000 2.8544 2.8544 2.8544 0.0000 2.8544 2.8544 2.8544 0.0000" Properties=species:S:1:pos:R:3 pbc="T T T"
Li 0.0000 0.0000 0.0000
Cu 1.4272 1.4272 1.4272
As 2.8544 2.8544 2.8544
```

***

No. 2
Material: Li2CuAs2
Method: DFT, PBE-GGA
State: relaxed

Crystal system   triclinic

Cell and atoms, written as extended XYZ:
```
10
Lattice="4.0682 0.0000 0.0000 2.0279 5.1258 0.0000 2.0215 -0.4029 8.1128" Properties=species:S:1:pos:R:3 pbc="T T T"
Li 1.0140 1.1603 0.7171
Li 3.0388 0.6292 5.5102
Li 5.0788 4.0937 2.6026
Li 7.1036 3.5626 7.3957
Cu 3.0392 2.0749 3.0380
Cu 5.0784 2.6480 5.0748
As 3.0421 3.9073 4.7294
As 3.0462 3.3458 0.9560
As 5.0714 1.3771 7.1568
As 5.0755 0.8156 3.3834
```

***

No. 3
Material: Li3CuAs3
Method: DFT, PBE-GGA
State: relaxed

Crystal system   monoclinic

Cell and atoms, written as extended XYZ:
```
14
Lattice="4.9690 -2.0632 0.0000 4.9690 2.0632 0.0000 -4.5124 0.0000 11.8836" Properties=species:S:1:pos:R:3 pbc="T T T"
Li -1.4551 0.0000 4.4763
Li -3.2587 0.0000 10.8621
Li 1.3437 0.0000 2.6227
Li 4.0820 0.0000 9.2609
Li 8.6844 0.0000 1.0215
Li 6.8807 0.0000 7.4073
Cu -0.0580 0.0000 7.0053
Cu 5.4836 0.0000 4.8783
As 1.7186 0.0000 5.2349
As -0.3655 0.0000 10.9563
As 1.2638 0.0000 9.0596
As 4.1619 0.0000 2.8240
As 5.7912 0.0000 0.9273
As 3.7071 0.0000 6.6488
```

***

| no. | formation energy from the elements (eV/atom) |
| --- | --- |
| 1 | -0.314 |
| 2 | -0.418 |
| 3 | -0.431 |